# 1
A relaxed structure of SrPt6, computed with PBE.

a = 6.1303 Å, b = 6.1303 Å, c = 6.1303 Å
α = 109.47°, β = 109.47°, γ = 109.47°
Closest atoms and distances in Å follow each position.
Sites, in units of the cell vectors:
Sr 0.0000 0.0000 0.0000  24 Pt 3.96
Pt 0.7500 0.2500 0.5000  4 Pt 2.50
Pt 0.2500 0.5000 0.7500  4 Pt 2.50
Pt 0.7500 0.5000 0.2500  4 Pt 2.50
Pt 0.5000 0.7500 0.2500  4 Pt 2.50
Pt 0.2500 0.7500 0.5000  4 Pt 2.50
Pt 0.5000 0.2500 0.7500  4 Pt 2.50

Output
E_form (meV per atom): 169
ρ (g cm⁻³): 11.8
Magnetic moment (μB/cell): 1.4


# 2
A relaxed structure of Sr3Pt, computed with PBE.

a = 7.8854 Å, b = 7.8854 Å, c = 7.8854 Å
α = 151.50°, β = 138.03°, γ = 51.51°
Closest atoms and distances in Å follow each position.
Sites, in units of the cell vectors:
Sr 0.3324 0.3324 0.0000  2 Pt 3.07
Sr 0.6676 0.6676 0.0000  2 Pt 3.07
Sr 0.0000 0.5000 0.5000  4 Pt 3.43, 4 Sr 3.69
Pt 0.5000 0.0000 0.5000  8 Sr 3.07-3.43

Output
E_form (meV per atom): -402
ρ (g cm⁻³): 4.9
Magnetic moment (μB/cell): 0.0